No. 1
! Pm7Pr2Sm2 (GGA-PBE, optimized geometry); values from VASP
! * polymorph energy (0 for the lowest one): 0.0318 eV per atom
! * space group: C2/m
! * energy of formation from the pure elements: 0.170 eV/atom
! * uncorrected energy: -0.1683 Ha/atom
! * V: 389 Å³ per cell
! * size of the total moment: 0.0 μB per cell
&SYSTEM
  ibrav = 0, nat = 11, ntyp = 3
/
ATOMIC_SPECIES
Pm 145.00 Pm.upf
Pr 140.91 Pr.upf
Sm 150.36 Sm.upf
ATOMIC_POSITIONS angstrom
Pm 1.590 0.282 3.848
Pm 7.073 3.138 7.969
Pm 7.073 6.359 5.736
Pm 1.590 3.504 1.616
Pm 0.000 0.000 0.000
Pm 4.285 4.440 6.407
Pm 4.378 2.202 3.177
Pr 7.079 3.125 4.510
Pr 1.584 3.516 5.074
Sm 4.331 0.901 6.469
Sm 4.331 5.741 3.115
CELL_PARAMETERS angstrom
8.291 1.001 1.444
0.186 6.744 1.351
0.186 -1.103 6.789

No. 2
! Pm2PrSm (GGA-PBE, optimized geometry); values from VASP
! * polymorph energy (0 for the lowest one): 0.0982 eV per atom
! * space group: Imm2
! * energy of formation from the pure elements: 0.111 eV/atom
! * uncorrected energy: -0.1705 Ha/atom
! * V: 139 Å³ per cell
! * size of the total moment: 0.0 μB per cell
&SYSTEM
  ibrav = 0, nat = 4, ntyp = 3
/
ATOMIC_SPECIES
Pm 145.00 Pm.upf
Pr 140.91 Pr.upf
Sm 150.36 Sm.upf
ATOMIC_POSITIONS angstrom
Pm 0.010 0.029 0.017
Pm 0.340 1.778 3.098
Pr 3.640 1.419 1.783
Sm 1.654 5.052 2.907
CELL_PARAMETERS angstrom
-0.992 -1.550 3.258
5.624 -2.219 0.657
-0.653 6.966 0.966

No. 3
! Pm5Pr5Sm2 (GGA-PBE, optimized geometry); values from VASP
! * space group: C2/m
! * energy of formation from the pure elements: 0.014 eV/atom
! * uncorrected energy: -0.1743 Ha/atom
! * V: 421 Å³ per cell
! * size of the total moment: 0.0 μB per cell
&SYSTEM
  ibrav = 0, nat = 12, ntyp = 3
/
ATOMIC_SPECIES
Pm 145.00 Pm.upf
Pr 140.91 Pr.upf
Sm 150.36 Sm.upf
ATOMIC_POSITIONS angstrom
Pm 3.808 4.156 7.021
Pm 2.438 2.560 1.012
Pm 4.245 7.177 4.977
Pm 3.372 1.135 9.065
Pm 5.179 5.752 13.029
Pr 6.249 6.697 8.020
Pr 3.173 6.223 9.993
Pr 4.444 2.090 4.049
Pr 1.368 1.615 6.021
Pr 0.000 0.000 0.000
Sm 5.811 3.672 10.073
Sm 1.806 4.641 3.969
CELL_PARAMETERS angstrom
5.077 0.000 1.085
2.239 7.666 1.943
0.301 0.646 11.013

No. 4
! PmPr5Sm3 (GGA-PBE, optimized geometry); values from VASP
! * polymorph energy (0 for the lowest one): 0.1292 eV per atom
! * space group: C2/m
! * energy of formation from the pure elements: 0.387 eV/atom
! * uncorrected energy: -0.1606 Ha/atom
! * V: 678 Å³ per cell
! * size of the total moment: 0.0 μB per cell
&SYSTEM
  ibrav = 0, nat = 18, ntyp = 3
/
ATOMIC_SPECIES
Pm 145.00 Pm.upf
Pr 140.91 Pr.upf
Sm 150.36 Sm.upf
ATOMIC_POSITIONS angstrom
Pm 14.567 10.999 5.477
Pm 2.205 1.665 1.194
Pr 11.448 6.423 2.285
Pr 5.981 6.365 -1.135
Pr 9.799 7.399 -0.823
Pr 7.893 5.960 1.769
Pr 8.878 6.704 4.901
Pr 6.973 5.265 7.494
Pr 9.312 9.252 2.285
Pr 7.759 4.010 -1.135
Pr 5.324 6.241 4.386
Pr 7.460 3.412 4.386
Sm 11.692 8.829 4.979
Sm 12.540 9.469 0.625
Sm 0.000 0.000 0.000
Sm 1.516 1.145 4.471
Sm 5.079 3.835 1.692
Sm 4.231 3.195 6.045
CELL_PARAMETERS angstrom
9.384 1.857 -1.135
4.355 8.517 -1.135
3.032 2.289 8.941

No. 5
! Pm4Pr3Sm (GGA-PBE, optimized geometry); values from VASP
! * polymorph energy (0 for the lowest one): 0.0000 eV per atom
! * space group: Pmna
! * energy of formation from the pure elements: 0.014 eV/atom
! * uncorrected energy: -0.1743 Ha/atom
! * V: 560 Å³ per cell
! * size of the total moment: 0.0 μB per cell
&SYSTEM
  ibrav = 0, nat = 16, ntyp = 3
/
ATOMIC_SPECIES
Pr 140.91 Pr.upf
Sm 150.36 Sm.upf
Pm 145.00 Pm.upf
ATOMIC_POSITIONS angstrom
Pr -1.230 -1.290 -1.420
Pr -6.978 2.529 3.032
Pr -9.731 3.399 -1.265
Pr -8.992 3.416 -4.865
Pr -5.496 2.537 -4.150
Pr -2.747 1.668 0.149
Sm -3.986 -0.407 -5.728
Sm -6.238 2.532 -0.558
Pm -3.211 -3.369 -3.706
Pm -2.005 1.673 -3.442
Pm -7.749 5.477 1.020
Pm -8.960 0.452 0.747
Pm -8.217 0.455 -2.842
Pm -7.013 5.494 -2.581
Pm -4.726 -0.411 -2.137
Pm -3.517 4.615 -1.863
CELL_PARAMETERS angstrom
-1.550 5.925 -4.045
-3.961 -4.157 -4.571
-8.466 1.724 5.768

No. 6
! Pm3Pr3Sm2 (GGA-PBE, optimized geometry); values from VASP
! * polymorph energy (0 for the lowest one): 0.0000 eV per atom
! * space group: P2_1/m
! * energy of formation from the pure elements: 0.033 eV/atom
! * uncorrected energy: -0.1735 Ha/atom
! * V: 564 Å³ per cell
! * size of the total moment: 0.0 μB per cell
&SYSTEM
  ibrav = 0, nat = 16, ntyp = 3
/
ATOMIC_SPECIES
Pm 145.00 Pm.upf
Pr 140.91 Pr.upf
Sm 150.36 Sm.upf
ATOMIC_POSITIONS angstrom
Pm 4.374 5.403 5.548
Pm 0.765 1.662 12.955
Pm 4.374 5.403 1.859
Pm 0.765 1.662 9.266
Pm 3.889 2.280 3.704
Pm 1.250 4.785 11.111
Pr 3.906 2.280 7.404
Pr 1.233 4.786 14.812
Pr 3.906 2.280 0.003
Pr 1.233 4.786 7.410
Pr 1.229 4.788 3.704
Pr 3.910 2.278 11.111
Sm 4.394 5.403 12.957
Sm 0.745 1.663 5.550
Sm 4.394 5.403 9.265
Sm 0.745 1.663 1.858
CELL_PARAMETERS angstrom
6.284 1.232 0.000
-1.145 5.834 0.000
0.000 0.000 14.815

No. 7
! Pm3Pr4Sm4 (GGA-PBE, optimized geometry); values from VASP
! * polymorph energy (0 for the lowest one): 0.0181 eV per atom
! * space group: Amm2
! * energy of formation from the pure elements: 0.145 eV/atom
! * uncorrected energy: -0.1692 Ha/atom
! * V: 389 Å³ per cell
! * size of the total moment: 0.0 μB per cell
&SYSTEM
  ibrav = 0, nat = 11, ntyp = 3
/
ATOMIC_SPECIES
Pm 145.00 Pm.upf
Pr 140.91 Pr.upf
Sm 150.36 Sm.upf
ATOMIC_POSITIONS angstrom
Pm 0.000 5.000 3.199
Pm 0.000 5.000 7.725
Pm 0.000 3.104 0.000
Pr 2.916 3.099 8.639
Pr 2.916 3.099 2.285
Pr 2.916 4.718 5.462
Pr 2.916 5.611 0.000
Sm 2.916 1.371 5.462
Sm 2.916 0.634 0.000
Sm 0.000 1.281 7.626
Sm 0.000 1.281 3.298
CELL_PARAMETERS angstrom
5.831 0.000 0.000
-2.916 6.110 0.000
0.000 0.000 10.924

No. 8
! Pm3Pr5Sm3 (GGA-PBE, optimized geometry); values from VASP
! * polymorph energy (0 for the lowest one): 0.0000 eV per atom
! * space group: P-62m
! * energy of formation from the pure elements: 0.293 eV/atom
! * uncorrected energy: -0.1640 Ha/atom
! * V: 399 Å³ per cell
! * size of the total moment: 0.0 μB per cell
&SYSTEM
  ibrav = 0, nat = 11, ntyp = 3
/
ATOMIC_SPECIES
Pm 145.00 Pm.upf
Pr 140.91 Pr.upf
Sm 150.36 Sm.upf
ATOMIC_POSITIONS angstrom
Pm 0.000 5.946 -3.433
Pm 0.000 0.000 6.866
Pm 0.000 4.000 2.310
Pr 1.747 6.631 0.000
Pr 1.747 3.315 5.742
Pr 1.747 3.378 -1.950
Pr 1.747 6.568 3.792
Pr 1.747 0.000 3.901
Sm 1.747 8.356 -4.825
Sm 1.747 1.590 0.918
Sm 1.747 0.000 9.649
CELL_PARAMETERS angstrom
3.495 0.000 0.000
0.000 9.946 -5.742
0.000 0.000 11.485

No. 9
! Pm2Pr7Sm3 (GGA-PBE, optimized geometry); values from VASP
! * polymorph energy (0 for the lowest one): 0.0000 eV per atom
! * space group: P2/m
! * energy of formation from the pure elements: 0.085 eV/atom
! * uncorrected energy: -0.1718 Ha/atom
! * V: 428 Å³ per cell
! * size of the total moment: 0.0 μB per cell
&SYSTEM
  ibrav = 0, nat = 12, ntyp = 3
/
ATOMIC_SPECIES
Pm 145.00 Pm.upf
Pr 140.91 Pr.upf
Sm 150.36 Sm.upf
ATOMIC_POSITIONS angstrom
Pm 1.831 3.641 5.921
Pm 1.831 0.368 13.674
Pr 1.831 3.535 9.170
Pr 1.831 0.475 10.425
Pr 0.000 3.778 2.977
Pr 0.000 0.000 0.000
Pr 0.000 0.232 16.618
Pr 1.831 3.294 16.056
Pr 1.831 0.715 3.539
Sm 1.831 3.007 0.137
Sm 0.000 0.556 7.158
Sm 0.000 3.454 12.437
CELL_PARAMETERS angstrom
3.663 0.000 0.000
0.000 6.015 0.273
0.000 -2.005 19.322

No. 10
! PmPr2Sm3 (GGA-PBE, optimized geometry); values from VASP
! * polymorph energy (0 for the lowest one): 0.1261 eV per atom
! * space group: Cmcm
! * energy of formation from the pure elements: 0.183 eV/atom
! * uncorrected energy: -0.1676 Ha/atom
! * V: 413 Å³ per cell
! * size of the total moment: 0.0 μB per cell
&SYSTEM
  ibrav = 0, nat = 12, ntyp = 3
/
ATOMIC_SPECIES
Pm 145.00 Pm.upf
Pr 140.91 Pr.upf
Sm 150.36 Sm.upf
ATOMIC_POSITIONS angstrom
Pm 5.119 5.757 8.097
Pm 1.706 0.614 0.863
Pr 5.119 2.943 1.284
Pr 1.706 3.429 7.676
Pr 1.706 6.125 5.759
Pr 5.119 0.247 3.201
Sm 1.706 2.581 3.629
Sm 5.119 3.791 5.331
Sm 3.412 0.947 6.072
Sm 0.000 0.947 6.072
Sm 3.412 5.425 2.888
Sm 0.000 5.425 2.888
CELL_PARAMETERS angstrom
6.825 0.000 0.000
0.000 7.667 1.294
0.000 -1.295 7.667